[1]
An optimized crystal structure of CoRu3C, computed with GGA-PBE.

Values from the calculation:
As for the formation energy: 0.44 eV per atom. Its crystal system is cubic. Its uncorrected energy is -0.61708 Ry/atom. Its space group is Pm-3m (221). As for the magnetization: 0.0000 μB/atom.

Cell lengths 3.973, 3.973, 3.973 Å; angles 90.00, 90.00, 90.00 degrees
Sites, in units of the cell vectors:
1 Co 0.000 0.000 0.000
2 Ru 0.000 0.500 0.500
3 Ru 0.500 0.000 0.500
4 Ru 0.500 0.500 0.000
5 C 0.500 0.500 0.500

---

[2]
An optimized crystal structure of CoRuC3, computed with GGA-PBE.

Values from the calculation:
As for the formation energy: 2.18 eV per atom. Its crystal system is cubic. Its uncorrected energy is -0.48720 Ry/atom. Its space group is Pm-3m (221). As for the magnetization: 0.0000 μB/atom.

Cell lengths 3.667, 3.667, 3.667 Å; angles 90.00, 90.00, 90.00 degrees
Sites, in units of the cell vectors:
1 Co 0.000 0.000 0.000
2 Ru 0.500 0.500 0.500
3 C 0.000 0.000 0.500
4 C 0.000 0.500 0.000
5 C 0.500 0.000 0.000

---

| no. | energy relative to the lowest polymorph listed for this composition (eV/atom) |
| --- | --- |
| 1 | 0.0000 |
| 2 | 0.0000 |